[1]
The following is a GGA-PBE calculation of MgTlCr2 after structural relaxation, from the Alexandria database.

```
data_MgTlCr2
_symmetry_space_group_name_H-M 'P 1'
_symmetry_Int_Tables_number 1
_symmetry_space_group_name_Hall 'P 1'
_cell_length_a 5.411
_cell_length_b 5.411
_cell_length_c 4.742
_cell_angle_alpha 108.53
_cell_angle_beta 108.53
_cell_angle_gamma 37.67
loop_
_atom_site_label
_atom_site_fract_x
_atom_site_fract_y
_atom_site_fract_z
Mg1 0.000 0.000 0.000
Tl1 0.245 0.245 0.680
Cr1 0.502 0.502 0.502
Cr2 0.746 0.746 0.183
```

## Properties
- D(E_F) (states/eV/f.u.) = 2.8
- magnetization (μB/f.u.) = 8.23
- E (eV per atom) = -5.157
- volume (Å³ per atom) = 19.98
- formation energy (eV/atom) = 0.6445

=====

[2]
The following is a GGA-PBE calculation of BSbF3 after structural relaxation, from the Alexandria database.

```
data_BSbF3
_symmetry_space_group_name_H-M 'P 1'
_symmetry_Int_Tables_number 1
_symmetry_space_group_name_Hall 'P 1'
_cell_length_a 4.474
_cell_length_b 4.474
_cell_length_c 4.474
_cell_angle_alpha 90.00
_cell_angle_beta 90.00
_cell_angle_gamma 90.00
loop_
_atom_site_label
_atom_site_fract_x
_atom_site_fract_y
_atom_site_fract_z
B1 0.000 0.000 0.000
Sb1 0.500 0.500 0.500
F1 0.000 0.500 0.500
F2 0.500 0.000 0.500
F3 0.500 0.500 0.000
```

## Properties
- D(E_F) (states/eV/f.u.) = 4.3
- magnetization (μB/f.u.) = 1.00
- E (eV per atom) = -3.884
- volume (Å³ per atom) = 17.91
- formation energy without anion corrections (meV/atom) = -601

=====

Q: Which value of D(E_F) does entry 2 give?
A: 4.3 states/eV/f.u.

=====

Q: Which of these has the highest volume?
A: MgTlCr2

=====

Q: Among the records above, which one has the highest E?
A: BSbF3

=====

Q: Among the records above, which one has the highest magnetization?
A: MgTlCr2